[1]
{"formula": "CaTbZnSn", "functional": "GGA-PBE", "state": "relaxed", "ef_mev_per_atom": -468, "energy_ev_per_cell": -13.78, "cell": [[5.2621, 0.0000, 0.0000], [2.6311, 4.5571, 0.0000], [2.6311, 1.5190, 4.2965]], "species": ["Tb", "Ca", "Sn", "Zn"], "frac_coords": [[0.0000, 0.0000, 0.0000], [0.5000, 0.5000, 0.5000], [0.7500, 0.7500, 0.7500], [0.2500, 0.2500, 0.2500]]}

[2]
{"formula": "Ca2TcSn2", "functional": "GGA-PBE", "state": "relaxed", "ef_mev_per_atom": -166, "energy_ev_per_cell": -46.41, "cell": [[-6.3881, -2.2793, 2.7138], [-2.5460, -0.9400, -6.7825], [1.6264, -4.5367, 0.0182]], "species": ["Ca", "Ca", "Ca", "Ca", "Tc", "Tc", "Sn", "Sn", "Sn", "Sn"], "frac_coords": [[0.1713, 0.6713, 0.5000], [0.6713, 0.8287, 0.5000], [0.3287, 0.1713, 0.5000], [0.8287, 0.3287, 0.5000], [0.0000, 0.0000, 0.0000], [0.5000, 0.5000, 0.0000], [0.1444, 0.3556, 0.0000], [0.8556, 0.6444, 0.0000], [0.3556, 0.8556, 0.0000], [0.6444, 0.1444, 0.0000]]}

[3]
{"formula": "CaTc2Sn", "functional": "GGA-PBE", "state": "relaxed", "ef_mev_per_atom": 868, "energy_ev_per_cell": -46.53, "cell": [[7.7627, 0.0000, 0.0000], [0.0000, 7.7627, 0.0000], [3.8814, 3.8814, 2.8369]], "species": ["Tc", "Tc", "Tc", "Tc", "Sn", "Sn", "Ca", "Ca"], "frac_coords": [[0.6630, 0.1250, 0.2500], [0.0870, 0.6250, 0.2500], [0.8750, 0.9130, 0.7500], [0.3750, 0.3370, 0.7500], [0.0000, 0.0000, 0.0000], [0.7500, 0.2500, 0.5000], [0.5000, 0.5000, 0.0000], [0.2500, 0.7500, 0.5000]]}

[4]
{"formula": "CaTcSn6", "functional": "GGA-PBE", "state": "relaxed", "ef_mev_per_atom": -44, "energy_ev_per_cell": -36.74, "cell": [[-0.3019, 0.5547, -4.3548], [6.8688, -0.3070, -0.5152], [-1.6765, -6.6480, -0.7305]], "species": ["Sn", "Sn", "Sn", "Sn", "Sn", "Sn", "Ca", "Tc"], "frac_coords": [[0.5000, 0.1271, 0.4056], [0.0000, 0.7863, 0.5660], [0.0000, 0.8876, 0.1124], [0.0000, 0.4340, 0.2137], [0.0000, 0.3375, 0.6625], [0.5000, 0.5944, 0.8729], [0.5000, 0.1011, 0.8989], [0.5000, 0.7320, 0.2680]]}

[5]
{"formula": "CaTc3Sn", "functional": "GGA-PBE", "state": "relaxed", "ef_mev_per_atom": 1548, "energy_ev_per_cell": -29.36, "cell": [[-2.1583, -0.1887, 4.4839], [0.6798, -4.9318, 0.1197], [4.4361, 0.6640, 2.1632]], "species": ["Tc", "Tc", "Tc", "Sn", "Ca"], "frac_coords": [[0.0000, 0.5000, 0.0000], [0.5000, 0.0000, 0.0000], [0.0000, 0.0000, 0.5000], [0.0000, 0.0000, 0.0000], [0.5000, 0.5000, 0.5000]]}

[6]
{"formula": "CaTc3Sn", "functional": "GGA-PBE", "state": "relaxed", "ef_mev_per_atom": 2251, "energy_ev_per_cell": -25.85, "cell": [[-3.0428, 2.5880, 2.5159], [-3.4294, -3.0991, -0.9598], [1.1255, -2.4463, 3.8775]], "species": ["Sn", "Ca", "Tc", "Tc", "Tc"], "frac_coords": [[0.5000, 0.5000, 0.5000], [0.0000, 0.0000, 0.0000], [0.0000, 0.0000, 0.5000], [0.0000, 0.5000, 0.0000], [0.5000, 0.0000, 0.0000]]}

[7]
{"formula": "CaTi2TcSn", "functional": "GGA-PBE", "state": "relaxed", "ef_mev_per_atom": 1633, "energy_ev_per_cell": -23.99, "cell": [[-1.5421, -1.5735, 4.1182], [4.3884, -0.8288, 1.3266], [0.2846, 4.3183, 1.7565]], "species": ["Ti", "Ti", "Tc", "Sn", "Ca"], "frac_coords": [[0.5000, 0.0000, 0.0000], [0.0000, 0.0000, 0.5000], [0.0000, 0.5000, 0.0000], [0.5000, 0.5000, 0.5000], [0.0000, 0.0000, 0.0000]]}

[8]
{"formula": "Ca3SnTe", "functional": "GGA-PBE", "state": "relaxed", "energy_ev_per_cell": -16.02, "formation_energy_uncorrected_ev_per_atom": -0.57, "cell": [[-3.3532, -4.7495, 0.7275], [4.1618, -3.3143, -2.4549], [2.4015, -0.8882, 5.2703]], "species": ["Sn", "Ca", "Ca", "Ca", "Te"], "frac_coords": [[0.0000, 0.0000, 0.0000], [0.5000, 0.0000, 0.0000], [0.0000, 0.5000, 0.0000], [0.0000, 0.0000, 0.5000], [0.5000, 0.5000, 0.5000]]}

[9]
{"formula": "Ca3Sn4Te8", "functional": "GGA-PBE", "state": "relaxed", "energy_ev_per_cell": -58.58, "formation_energy_uncorrected_ev_per_atom": -0.76, "cell": [[8.9386, -0.1055, -0.1516], [-4.3436, 7.8494, 0.1577], [-4.3436, -2.5770, 7.4160]], "species": ["Sn", "Sn", "Sn", "Sn", "Te", "Te", "Te", "Te", "Te", "Te", "Te", "Te", "Ca", "Ca", "Ca"], "frac_coords": [[0.5000, 0.0000, 0.0000], [0.0000, 0.0000, 0.5000], [0.0000, 0.5000, 0.0000], [0.0000, 0.0000, 0.0000], [0.5227, 0.7606, 0.7606], [0.5000, 0.7497, 0.2503], [0.9994, 0.7564, 0.7564], [0.0000, 0.2424, 0.7576], [0.4773, 0.2394, 0.2394], [0.0006, 0.2436, 0.2436], [0.0000, 0.7576, 0.2424], [0.5000, 0.2503, 0.7497], [0.5000, 0.5000, 0.5000], [0.5000, 0.0000, 0.5000], [0.5000, 0.5000, 0.0000]]}

[10]
{"formula": "CaSn2Te4", "functional": "GGA-PBE", "state": "relaxed", "energy_ev_per_cell": -52.89, "formation_energy_uncorrected_ev_per_atom": -0.55, "cell": [[-2.1327, 1.8997, 3.4863], [6.3265, -3.4188, 2.8202], [7.2527, 11.7842, -1.9844]], "species": ["Te", "Te", "Te", "Te", "Te", "Te", "Te", "Te", "Ca", "Ca", "Sn", "Sn", "Sn", "Sn"], "frac_coords": [[0.7735, 0.5470, 0.3567], [0.5000, 0.0000, 0.0000], [0.2265, 0.4530, 0.8567], [0.7735, 0.5470, 0.1433], [0.2265, 0.4530, 0.6433], [0.5000, 0.0000, 0.5000], [0.0505, 0.1010, 0.2500], [0.9495, 0.8990, 0.7500], [0.5939, 0.1879, 0.7500], [0.4061, 0.8121, 0.2500], [0.8637, 0.7274, 0.5616], [0.1363, 0.2726, 0.0616], [0.8637, 0.7274, 0.9384], [0.1363, 0.2726, 0.4384]]}

[11]
{"formula": "Ca2SnTe2", "functional": "GGA-PBE", "state": "relaxed", "energy_ev_per_cell": -38.40, "formation_energy_uncorrected_ev_per_atom": -0.98, "cell": [[-5.6505, 5.1233, -4.2666], [-2.7662, -6.8901, -4.6102], [-2.8173, -0.7571, 2.8219]], "species": ["Te", "Te", "Te", "Te", "Ca", "Ca", "Ca", "Ca", "Sn", "Sn"], "frac_coords": [[0.6515, 0.1515, 0.0000], [0.1515, 0.3485, 0.0000], [0.8485, 0.6515, 0.0000], [0.3485, 0.8485, 0.0000], [0.1536, 0.6536, 0.5000], [0.3464, 0.1536, 0.5000], [0.8464, 0.3464, 0.5000], [0.6536, 0.8464, 0.5000], [0.0000, 0.0000, 0.0000], [0.5000, 0.5000, 0.0000]]}

[12]
{"formula": "CaSn2Te2", "functional": "GGA-PBE", "state": "relaxed", "energy_ev_per_cell": -36.13, "formation_energy_uncorrected_ev_per_atom": -0.35, "cell": [[-1.0251, 8.4206, -0.2225], [-5.9349, -0.5630, 6.0388], [3.0291, 0.4485, 3.0188]], "species": ["Sn", "Sn", "Sn", "Sn", "Te", "Te", "Te", "Te", "Ca", "Ca"], "frac_coords": [[0.6291, 0.1291, 0.0000], [0.8709, 0.6291, 0.0000], [0.1291, 0.3709, 0.0000], [0.3709, 0.8709, 0.0000], [0.8082, 0.3082, 0.5000], [0.3082, 0.1918, 0.5000], [0.6918, 0.8082, 0.5000], [0.1918, 0.6918, 0.5000], [0.0000, 0.0000, 0.0000], [0.5000, 0.5000, 0.0000]]}